LiMgRe2: relaxed, GGA-PBE.

Geometry as CIF:
```
data_LiMgRe2
_chemical_formula_sum 'Li2 Mg2 Re4'
_cell_length_a 3.006
_cell_length_b 4.528
_cell_length_c 9.461
_cell_angle_alpha 90.00
_cell_angle_beta 90.00
_cell_angle_gamma 90.00
_symmetry_space_group_name_H-M 'C m m 2'
_symmetry_Int_Tables_number 35
_symmetry_space_group_name_Hall 'C 2 -2'
loop_
_atom_site_label
_atom_site_type_symbol
_atom_site_fract_x
_atom_site_fract_y
_atom_site_fract_z
Li1 Li 0.000 0.000 0.000
Mg1 Mg 0.000 0.500 0.274
Re1 Re 0.000 0.000 0.530
Re2 Re 0.000 0.500 0.758
```

The value obtained for the energy relative to the elements is 240.3 meV/atom. The excess energy over the best structure of this formula in the dataset comes out at 0.0935 eV/atom.